Ac3Sb2H2 | PBE-GGA | optimized geometry

```
Ac3Sb2H2
1.0
8.309 0.000 -0.262
0.000 7.876 0.000
3.451 0.000 6.109
Ac Sb H
6 4 4
Cartesian
4.154 3.938 -0.131
0.000 0.000 0.000
8.278 0.608 3.699
7.636 4.546 2.018
4.124 3.330 3.829
3.481 7.268 2.149
10.052 5.488 4.424
5.898 6.326 4.555
5.862 1.550 1.293
1.708 2.388 1.424
7.010 2.893 3.836
8.904 6.831 1.880
2.856 1.045 3.967
4.750 4.983 2.011
```

* DFT total energy: -4.66 eV/atom
* DOS(E_F): 3.5 states/eV/f.u.
* total moment: 0.00 μB per cell

***

AcSbH2 | PBE-GGA | optimized geometry

```
AcSbH2
1.0
-3.828 -1.027 -0.562
-0.929 -3.732 -1.110
-1.994 -3.175 5.123
Sb Ac H
1 1 2
Cartesian
-3.376 -3.967 1.725
0.000 0.000 0.000
-1.625 -1.739 -0.011
-5.126 -6.195 3.462
```

* energy above the most stable polymorph in this dataset: 2.96 kcal/mol of atoms
* DOS(E_F): 1.2 states/eV/f.u.
* total moment: 0.00 μB per cell

***

AcSbH2 | PBE-GGA | optimized geometry

```
AcSbH2
1.0
-1.559 1.783 4.051
-4.425 1.521 0.345
-3.109 -2.392 2.574
Sb Ac H
1 1 2
Cartesian
-4.547 0.456 3.485
0.000 0.000 0.000
-2.273 0.228 1.742
-6.820 0.684 5.227
```

* energy above the most stable polymorph in this dataset: 5.33 kcal/mol of atoms
* DOS(E_F): 1.2 states/eV/f.u.
* total moment: 0.00 μB per cell

***

Ac3Sb2H | PBE-GGA | optimized geometry

```
Ac3Sb2H
1.0
-0.069 -3.815 5.476
9.108 -1.405 -0.864
-1.024 7.740 1.311
Ac Sb H
6 4 2
Cartesian
2.245 -2.109 2.307
6.794 -3.111 2.306
0.388 1.728 1.193
3.073 1.509 5.142
4.941 1.011 0.782
7.627 0.792 4.731
4.941 -0.708 3.647
0.387 0.004 4.065
7.628 2.516 1.859
3.074 3.228 2.277
6.767 -4.592 4.432
2.272 -0.627 0.180
```

* DFT total energy: -4.75 eV/atom
* DOS(E_F): 3.9 states/eV/f.u.
* total moment: 0.00 μB per cell

***

Ac4Sb2H | PBE-GGA | optimized geometry

```
Ac4Sb2H
1.0
-2.660 0.741 4.121
-4.036 -1.752 -2.290
5.422 -8.027 1.957
Sb Ac H
2 4 1
Cartesian
-2.782 -2.835 1.699
1.508 -6.203 2.088
-2.013 -6.000 2.764
0.738 -3.039 1.023
-2.018 -0.876 -1.145
-1.330 0.370 2.060
0.000 0.000 0.000
```

* DFT total energy: -4.72 eV/atom
* DOS(E_F): 7.4 states/eV/f.u.
* total moment: 0.00 μB per cell

***

Ac2SbH3 | PBE-GGA | optimized geometry

```
Ac2SbH3
1.0
4.305 0.000 0.000
-2.152 7.635 -3.075
0.000 -0.387 7.801
Ac Sb H
4 2 6
Cartesian
0.000 6.931 2.845
2.152 0.316 1.881
2.152 4.388 0.573
0.000 2.859 4.153
2.152 5.266 5.154
0.000 1.982 -0.428
0.000 4.475 2.171
2.152 6.449 1.841
2.152 1.219 4.257
0.000 6.029 0.469
0.000 0.799 2.885
2.152 2.773 2.555
```

* DFT total energy: -4.50 eV/atom
* total moment: 0.00 μB per cell

***

Repeat the second record exactly.
AcSbH2 | PBE-GGA | optimized geometry

```
AcSbH2
1.0
-3.828 -1.027 -0.562
-0.929 -3.732 -1.110
-1.994 -3.175 5.123
Sb Ac H
1 1 2
Cartesian
-3.376 -3.967 1.725
0.000 0.000 0.000
-1.625 -1.739 -0.011
-5.126 -6.195 3.462
```

* energy above the most stable polymorph in this dataset: 2.96 kcal/mol of atoms
* DOS(E_F): 1.2 states/eV/f.u.
* total moment: 0.00 μB per cell